Record 1
PBE CaNiIr, relaxed; V = 18.0 Å³/atom; distance to the lowest polymorph of the same formula = 353.2 meV per atom
1.0
5.475 0.014 -0.022
3.378 4.309 0.022
-4.125 -2.779 2.289
Ni Ca Ir
1 1 1
direct
0.716 0.716 0.000
0.997 0.997 0.000
0.287 0.287 0.000

=====

Record 2
PBE CaNi2Ir, relaxed; V = 15.6 Å³/atom
1.0
3.690 0.000 0.000
0.000 2.743 0.021
0.000 2.699 6.186
Ni Ca Ir
2 1 1
direct
0.000 0.057 0.943
0.000 0.443 0.557
0.500 0.250 0.250
0.500 0.750 0.750

=====

Energy of formation from the pure elements / eV per atom: -0.03, 0.07
VASP energy / eV per atom: -5.57, -5.54